# 1
This record from the Alexandria database describes a relaxed La2Pr4DyTm crystal. The functional is GGA-PBE.

Spin magnetization in μB/f.u.: 0.00
Formation enthalpy at 0 K in eV per atom: 0.022
Final energy in eV/atom: -4.734

```
data_La2Pr4DyTm
_cell_length_a 5.204
_cell_length_b 5.165
_cell_length_c 11.647
_cell_angle_alpha 63.58
_cell_angle_beta 90.00
_cell_angle_gamma 90.00
_space_group_name_H-M_alt 'P 1'
_space_group_IT_number 1
loop_
_space_group_symop_operation_xyz
'x,y,z'
loop_
_atom_site_label
_atom_site_type_symbol
_atom_site_fract_x
_atom_site_fract_y
_atom_site_fract_z
_atom_site_occupancy
La1 La 0.000 0.000 0.000 1
La2 La 0.500 0.000 0.500 1
Pr1 Pr 0.000 0.752 0.749 1
Pr2 Pr 0.000 0.248 0.251 1
Pr3 Pr 0.500 0.750 0.250 1
Pr4 Pr 0.500 0.250 0.750 1
Dy1 Dy 0.500 0.500 0.000 1
Tm1 Tm 0.000 0.500 0.500 1
```



# 2
This record from the Alexandria database describes a relaxed LaPrDyTm2 crystal. The functional is GGA-PBE.

Spin magnetization in μB/f.u.: 0.00
Formation enthalpy at 0 K in eV per atom: 0.352
Final energy in eV/atom: -4.298

```
data_LaPrDyTm2
_cell_length_a 7.209
_cell_length_b 8.446
_cell_length_c 7.155
_cell_angle_alpha 126.17
_cell_angle_beta 90.00
_cell_angle_gamma 90.00
_space_group_name_H-M_alt 'P 1'
_space_group_IT_number 1
loop_
_space_group_symop_operation_xyz
'x,y,z'
loop_
_atom_site_label
_atom_site_type_symbol
_atom_site_fract_x
_atom_site_fract_y
_atom_site_fract_z
_atom_site_occupancy
La1 La 0.250 0.734 0.467 1
La2 La 0.750 0.266 0.533 1
Pr1 Pr 0.250 0.000 0.001 1
Pr2 Pr 0.750 0.000 0.999 1
Dy1 Dy 0.750 0.716 0.433 1
Dy2 Dy 0.250 0.284 0.567 1
Tm1 Tm 0.500 0.314 0.000 1
Tm2 Tm 0.000 0.686 0.000 1
Tm3 Tm 0.500 0.686 0.000 1
Tm4 Tm 0.000 0.314 0.000 1
```



# 3
This record from the Alexandria database describes a relaxed LaPr2Dy5Tm crystal. The functional is GGA-PBE.

Spin magnetization in μB/f.u.: 0.00
Formation enthalpy at 0 K in eV per atom: 0.264
Final energy in eV/atom: -4.399

```
data_LaPr2Dy5Tm
_cell_length_a 8.763
_cell_length_b 8.763
_cell_length_c 9.994
_cell_angle_alpha 116.00
_cell_angle_beta 116.00
_cell_angle_gamma 90.00
_space_group_name_H-M_alt 'P 1'
_space_group_IT_number 1
loop_
_space_group_symop_operation_xyz
'x,y,z'
loop_
_atom_site_label
_atom_site_type_symbol
_atom_site_fract_x
_atom_site_fract_y
_atom_site_fract_z
_atom_site_occupancy
La1 La 0.250 0.250 0.500 1
La2 La 0.750 0.750 0.500 1
Pr1 Pr 0.118 0.382 0.000 1
Pr2 Pr 0.618 0.118 0.000 1
Pr3 Pr 0.382 0.882 0.000 1
Pr4 Pr 0.882 0.618 0.000 1
Dy1 Dy 0.928 0.428 0.276 1
Dy2 Dy 0.652 0.152 0.724 1
Dy3 Dy 0.072 0.572 0.724 1
Dy4 Dy 0.152 0.072 0.724 1
Dy5 Dy 0.572 0.652 0.724 1
Dy6 Dy 0.848 0.928 0.276 1
Dy7 Dy 0.428 0.348 0.276 1
Dy8 Dy 0.348 0.848 0.276 1
Dy9 Dy 0.500 0.500 0.000 1
Dy10 Dy 0.000 0.000 0.000 1
Tm1 Tm 0.250 0.750 0.500 1
Tm2 Tm 0.750 0.250 0.500 1
```



# 4
This record from the Alexandria database describes a relaxed La3PrDy6Tm2 crystal. The functional is GGA-PBE.

Spin magnetization in μB/f.u.: 0.00
Formation enthalpy at 0 K in eV per atom: 0.022
Final energy in eV/atom: -4.654

```
data_La3PrDy6Tm2
_cell_length_a 6.234
_cell_length_b 6.234
_cell_length_c 11.907
_cell_angle_alpha 95.00
_cell_angle_beta 95.00
_cell_angle_gamma 120.01
_space_group_name_H-M_alt 'P 1'
_space_group_IT_number 1
loop_
_space_group_symop_operation_xyz
'x,y,z'
loop_
_atom_site_label
_atom_site_type_symbol
_atom_site_fract_x
_atom_site_fract_y
_atom_site_fract_z
_atom_site_occupancy
La1 La 0.167 0.833 0.500 1
La2 La 0.833 0.167 0.500 1
La3 La 0.500 0.500 0.500 1
Pr1 Pr 0.000 0.000 0.000 1
Dy1 Dy 0.918 0.584 0.755 1
Dy2 Dy 0.747 0.747 0.245 1
Dy3 Dy 0.082 0.416 0.245 1
Dy4 Dy 0.584 0.918 0.755 1
Dy5 Dy 0.253 0.253 0.755 1
Dy6 Dy 0.416 0.082 0.245 1
Tm1 Tm 0.333 0.667 0.000 1
Tm2 Tm 0.667 0.333 0.000 1
```



# 5
This record from the Alexandria database describes a relaxed LaPrDy2Tm5 crystal. The functional is GGA-PBE.

Spin magnetization in μB/f.u.: 0.00
Formation enthalpy at 0 K in eV per atom: 0.270
Final energy in eV/atom: -4.316

```
data_LaPrDy2Tm5
_cell_length_a 8.773
_cell_length_b 8.773
_cell_length_c 9.784
_cell_angle_alpha 116.64
_cell_angle_beta 116.64
_cell_angle_gamma 90.00
_space_group_name_H-M_alt 'P 1'
_space_group_IT_number 1
loop_
_space_group_symop_operation_xyz
'x,y,z'
loop_
_atom_site_label
_atom_site_type_symbol
_atom_site_fract_x
_atom_site_fract_y
_atom_site_fract_z
_atom_site_occupancy
La1 La 0.250 0.250 0.500 1
La2 La 0.750 0.750 0.500 1
Pr1 Pr 0.250 0.750 0.500 1
Pr2 Pr 0.750 0.250 0.500 1
Dy1 Dy 0.116 0.384 0.000 1
Dy2 Dy 0.616 0.116 0.000 1
Dy3 Dy 0.384 0.884 0.000 1
Dy4 Dy 0.884 0.616 0.000 1
Tm1 Tm 0.927 0.427 0.263 1
Tm2 Tm 0.665 0.165 0.737 1
Tm3 Tm 0.073 0.573 0.737 1
Tm4 Tm 0.165 0.073 0.737 1
Tm5 Tm 0.573 0.665 0.737 1
Tm6 Tm 0.835 0.927 0.263 1
Tm7 Tm 0.427 0.335 0.263 1
Tm8 Tm 0.335 0.835 0.263 1
Tm9 Tm 0.500 0.500 0.000 1
Tm10 Tm 0.000 0.000 0.000 1
```



# 6
This record from the Alexandria database describes a relaxed La2Pr2DyTm crystal. The functional is GGA-PBE.

Spin magnetization in μB/f.u.: 0.00
Formation enthalpy at 0 K in eV per atom: 0.055
Final energy in eV/atom: -4.693

```
data_La2Pr2DyTm
_cell_length_a 5.771
_cell_length_b 7.141
_cell_length_c 10.025
_cell_angle_alpha 90.00
_cell_angle_beta 90.00
_cell_angle_gamma 90.00
_space_group_name_H-M_alt 'P 1'
_space_group_IT_number 1
loop_
_space_group_symop_operation_xyz
'x,y,z'
loop_
_atom_site_label
_atom_site_type_symbol
_atom_site_fract_x
_atom_site_fract_y
_atom_site_fract_z
_atom_site_occupancy
La1 La 0.500 0.008 0.001 1
La2 La 0.000 0.258 0.176 1
La3 La 0.500 0.508 0.999 1
La4 La 0.000 0.758 0.824 1
Pr1 Pr 0.000 0.257 0.835 1
Pr2 Pr 0.500 0.258 0.332 1
Pr3 Pr 0.000 0.757 0.165 1
Pr4 Pr 0.500 0.758 0.668 1
Dy1 Dy 0.000 0.008 0.500 1
Dy2 Dy 0.000 0.508 0.500 1
Tm1 Tm 0.500 0.258 0.657 1
Tm2 Tm 0.500 0.758 0.343 1
```



# 7
This record from the Alexandria database describes a relaxed LaPrDy2Tm2 crystal. The functional is GGA-PBE.

Spin magnetization in μB/f.u.: 0.00
Formation enthalpy at 0 K in eV per atom: 0.183
Final energy in eV/atom: -4.459

```
data_LaPrDy2Tm2
_cell_length_a 3.582
_cell_length_b 16.038
_cell_length_c 7.008
_cell_angle_alpha 90.00
_cell_angle_beta 90.00
_cell_angle_gamma 90.00
_space_group_name_H-M_alt 'P 1'
_space_group_IT_number 1
loop_
_space_group_symop_operation_xyz
'x,y,z'
loop_
_atom_site_label
_atom_site_type_symbol
_atom_site_fract_x
_atom_site_fract_y
_atom_site_fract_z
_atom_site_occupancy
La1 La 0.000 0.000 0.000 1
La2 La 0.500 0.500 0.500 1
Pr1 Pr 0.500 0.500 0.000 1
Pr2 Pr 0.000 0.000 0.500 1
Dy1 Dy 0.500 0.840 0.251 1
Dy2 Dy 0.500 0.160 0.749 1
Dy3 Dy 0.000 0.660 0.751 1
Dy4 Dy 0.000 0.340 0.249 1
Tm1 Tm 0.500 0.158 0.250 1
Tm2 Tm 0.000 0.658 0.250 1
Tm3 Tm 0.500 0.842 0.750 1
Tm4 Tm 0.000 0.342 0.750 1
```



# 8
This record from the Alexandria database describes a relaxed La2Pr4DyTm2 crystal. The functional is GGA-PBE.

Spin magnetization in μB/f.u.: 0.00
Formation enthalpy at 0 K in eV per atom: 0.029
Final energy in eV/atom: -4.695

```
data_La2Pr4DyTm2
_cell_length_a 5.196
_cell_length_b 8.215
_cell_length_c 8.120
_cell_angle_alpha 107.75
_cell_angle_beta 90.00
_cell_angle_gamma 108.44
_space_group_name_H-M_alt 'P 1'
_space_group_IT_number 1
loop_
_space_group_symop_operation_xyz
'x,y,z'
loop_
_atom_site_label
_atom_site_type_symbol
_atom_site_fract_x
_atom_site_fract_y
_atom_site_fract_z
_atom_site_occupancy
La1 La 0.889 0.777 0.328 1
La2 La 0.111 0.223 0.672 1
Pr1 Pr 0.780 0.559 0.672 1
Pr2 Pr 0.220 0.441 0.328 1
Pr3 Pr 0.555 0.111 0.329 1
Pr4 Pr 0.445 0.889 0.671 1
Dy1 Dy 0.000 0.000 0.000 1
Tm1 Tm 0.333 0.666 0.000 1
Tm2 Tm 0.667 0.334 0.000 1
```